# Co2C | Alexandria | PBE-GGA | relaxed
# D(E_F): 1.20 states/eV per atom
# Relative energy among the computed polymorphs: 1.296 eV per atom
# Formation energy from the elements: 406 kJ/mol of formula units
# Calculated volume: 13.82 Å³ per atom
# Calculated total energy: -6.41 eV/atom
data_Co2C
_cell_length_a 4.8403
_cell_length_b 4.8403
_cell_length_c 8.1707
_cell_angle_alpha 90.00
_cell_angle_beta 90.00
_cell_angle_gamma 120.00
_space_group_name_H-M_alt 'P 63/m m c'
_space_group_IT_number 194
_space_group_name_Hall '-P 6c 2c'
loop_
_atom_site_label
_atom_site_fract_x
_atom_site_fract_y
_atom_site_fract_z
Co1 0.0000 0.0000 0.0000
Co2 0.1626 0.3252 0.2500
C1 0.3333 0.6667 0.1148